# CrHgB2Rh | the Alexandria database | PBE | relaxed
# calculated total energy	-23.71	eV/cell
# mass density	8.114	Mg/m³
# DFT formation energy	6.922	eV per formula unit
data_CrHgB2Rh
_symmetry_space_group_name_H-M 'P 4/m m m'
_symmetry_Int_Tables_number 123
_symmetry_space_group_name_Hall '-P 4 2'
_cell_length_a 3.9097
_cell_length_b 3.9097
_cell_length_c 5.0491
_cell_angle_alpha 90.00
_cell_angle_beta 90.00
_cell_angle_gamma 90.00
loop_
_atom_site_label
_atom_site_type_symbol
_atom_site_fract_x
_atom_site_fract_y
_atom_site_fract_z
Cr1 Cr 0.0000 0.0000 0.0000
Hg1 Hg 0.0000 0.0000 0.5000
B1 B 0.0000 0.5000 0.0000
Rh1 Rh 0.5000 0.5000 0.5000